1.
Al2Zn5Cu12 | PBE | relaxed

DOS at the Fermi energy, states/eV/atom: 0.337
ΔE_f, eV per atom: -0.07
Total magnetization, μB/atom: 0.00
Crystal system: monoclinic

abc: 8.2237 7.4795 4.9149
angles: 98.75 90.00 123.35
Element x y z (fractional)
1 Al 0.7736 0.0000 0.0000
2 Al 0.2264 0.0000 0.0000
3 Zn 0.2292 0.4583 0.4956
4 Zn 0.3442 0.6884 0.1054
5 Zn 0.0000 0.0000 0.5000
6 Zn 0.6558 0.3116 0.8946
7 Zn 0.7708 0.5417 0.5044
8 Cu 0.1403 0.2806 0.9325
9 Cu 0.0573 0.5997 0.7990
10 Cu 0.5424 0.5997 0.7990
11 Cu 0.1549 0.7976 0.3995
12 Cu 0.6426 0.7976 0.3995
13 Cu 0.4498 0.8995 0.7109
14 Cu 0.5502 0.1005 0.2891
15 Cu 0.8451 0.2024 0.6005
16 Cu 0.3574 0.2024 0.6005
17 Cu 0.9427 0.4003 0.2010
18 Cu 0.4576 0.4003 0.2010
19 Cu 0.8597 0.7194 0.0675

2.
AlZnCu | PBE | relaxed

DOS at the Fermi energy, states/eV/atom: 0.392
ΔE_f, eV per atom: -0.05
Total magnetization, μB/atom: 0.00
Crystal system: trigonal

abc: 2.8243 2.8243 6.2280
angles: 90.00 90.00 120.00
Element x y z (fractional)
1 Zn 0.3333 0.6667 0.6578
2 Al 0.0000 0.0000 0.0115
3 Cu 0.6667 0.3333 0.3308

3.
AlZn2Cu3 | PBE | relaxed

DOS at the Fermi energy, states/eV/atom: 0.341
ΔE_f, eV per atom: -0.13
Total magnetization, μB/atom: 0.00
Energy above the most stable polymorph in this dataset, eV per atom: 0.0000
Crystal system: orthorhombic

abc: 3.2309 4.0168 6.3943
angles: 108.31 90.00 90.00
Element x y z (fractional)
1 Al 0.0000 0.0000 0.0000
2 Zn 0.0000 0.6679 0.3358
3 Zn 0.0000 0.3321 0.6642
4 Cu 0.5000 0.1647 0.3293
5 Cu 0.5000 0.5000 0.0000
6 Cu 0.5000 0.8353 0.6707

4.
Al2ZnCu3 | PBE | relaxed

DOS at the Fermi energy, states/eV/atom: 0.122
ΔE_f, eV per atom: -0.16
Total magnetization, μB/atom: 0.00
Energy above the most stable polymorph in this dataset, eV per atom: 0.0000
Crystal system: monoclinic

abc: 4.1974 7.2970 7.2970
angles: 120.09 106.75 106.75
Element x y z (fractional)
1 Al 0.2500 0.0837 0.9163
2 Al 0.2500 0.7478 0.2522
3 Al 0.7500 0.9163 0.0837
4 Al 0.7500 0.2522 0.7478
5 Zn 0.2500 0.4185 0.5815
6 Zn 0.7500 0.5815 0.4185
7 Cu 0.5056 0.8406 0.6716
8 Cu 0.0056 0.6716 0.8406
9 Cu 0.5000 0.5000 0.0000
10 Cu 0.4944 0.1594 0.3284
11 Cu 0.0000 0.0000 0.5000
12 Cu 0.9944 0.3284 0.1594